VASP calculation (PBEsol) on an optimized crystal structure of BaPSe2N.

Summary:
E_form (uncorrected)   147.1 kJ per mole of atoms
SG   P4/mmm
Total moment   0.6107 μB per atom
Raw total energy   -3.309 eV/atom
Distance to the lowest polymorph of the same formula   1825 meV per atom

Cell: 5.0774 6.0742 6.0742 Å, 90.00 90.00 90.00°
Last column: magnetic moment on the atom in μB.
Fractional positions:
N  0.5000  0.0000  0.0000  1.51
Se  0.0000  0.0000  0.5000  -0.39
Se  0.0000  0.5000  0.0000  -0.39
Ba  0.0000  0.0000  0.0000  0.02
P  0.5000  0.5000  0.5000  0.88